No. 1
Here is DyScSb after structural relaxation from the Open Quantum Materials Database. Energies are from PBE-GGA.

Unit cell a=4.9273 b=4.9273 c=4.9273 alpha=60.00 beta=60.00 gamma=60.00
Last column: magnetic moment on the atom in μB.
Sites, in units of the cell vectors:
Dy 0.2500 0.2500 0.2500  0.12
Sb 0.0000 0.0000 0.0000  -0.01
Sc 0.7500 0.7500 0.7500  0.18

Computed properties:
**Electronic total energy**: -16.5 eV/cell

=====

No. 2
Here is DyScSb after structural relaxation from the Open Quantum Materials Database. Energies are from PBE-GGA.

Unit cell a=5.0480 b=5.0480 c=5.0480 alpha=60.00 beta=60.00 gamma=60.00
Last column: magnetic moment on the atom in μB.
Sites, in units of the cell vectors:
Dy 0.0000 0.0000 0.0000  0.52
Sb 0.2500 0.2500 0.2500  -0.03
Sc 0.7500 0.7500 0.7500  0.76

Computed properties:
**Electronic total energy**: -14.7 eV/cell

=====

So what do the calculations give for magnetization? Going down the list: 0.14 0.56 μB per atom.